# Ac8IrPb3 (PBE-GGA, optimized geometry)
# formation energy = -0.2843 eV per atom
# total magnetic moment = 0.0001 μB/atom
# crystal system = tetragonal
# E_tot = -4.69 eV/atom
# SG = I4/mmm (139)
data_Ac8IrPb3
_chemical_formula_sum 'Ac8 Ir1 Pb3'
_symmetry_space_group_name_H-M 'P 1'
_symmetry_Int_Tables_number 1
_cell_length_a 7.8852
_cell_length_b 7.8852
_cell_length_c 9.6778
_cell_angle_alpha 114.04
_cell_angle_beta 114.04
_cell_angle_gamma 90.00
loop_
_symmetry_equiv_pos_as_xyz
'x,y,z'
loop_
_atom_site_label
_atom_site_fract_x
_atom_site_fract_y
_atom_site_fract_z
_atom_site_occupancy
Ac1 0.6481 0.1183 0.7664 1
Pb1 0.2500 0.7500 0.5000 1
Ac2 0.6481 0.6481 0.7664 1
Ac3 0.8817 0.3519 0.2336 1
Ac4 0.1183 0.1183 0.7664 1
Ac5 0.8817 0.8817 0.2336 1
Ir1 0.0000 0.0000 0.0000 1
Pb2 0.5000 0.5000 0.0000 1
Ac6 0.3519 0.8817 0.2336 1
Ac7 0.3519 0.3519 0.2336 1
Ac8 0.1183 0.6481 0.7664 1
Pb3 0.7500 0.2500 0.5000 1

***

# K2PSe2 (PBE-GGA, optimized geometry)
# formation energy (no corrections) = -599 meV per atom
# total magnetic moment = 0.0000 μB/atom
# crystal system = orthorhombic
# E_tot = -3.51 eV/atom
# SG = Immm (71)
data_K2PSe2
_chemical_formula_sum 'K2 P1 Se2'
_symmetry_space_group_name_H-M 'P 1'
_symmetry_Int_Tables_number 1
_cell_length_a 6.4652
_cell_length_b 6.4652
_cell_length_c 6.4652
_cell_angle_alpha 145.63
_cell_angle_beta 106.28
_cell_angle_gamma 83.93
loop_
_symmetry_equiv_pos_as_xyz
'x,y,z'
loop_
_atom_site_label
_atom_site_fract_x
_atom_site_fract_y
_atom_site_fract_z
_atom_site_occupancy
K1 0.3008 0.8008 0.5000 1
K2 0.6992 0.1992 0.5000 1
P1 0.0000 0.0000 0.0000 1
Se1 0.2277 0.5000 0.7277 1
Se2 0.7723 0.5000 0.2723 1